CaErCo: optimized geometry, PBE-GGA.

Summary:
* crystal system: tetragonal
* space-group type: No. 107

a b c (Å): 6.8452 6.8452 6.8452
angles (deg): 151.45 151.45 40.82
Last column: nearest neighbours and their distance in Å.
Fractional coordinates of all 3 atoms:
Ca  0.0000  0.0000  0.0000  4 Co 3.03, 1 Er 3.26, 4 Ca 3.38
Er  0.2541  0.2541  0.0000  4 Co 2.77
Co  0.6452  0.6452  0.0000  4 Er 2.77, 4 Ca 3.03



Co3TeCl: optimized geometry, PBE-GGA.

Summary:
* crystal system: cubic
* space-group type: No. 221
* relative energy among the computed polymorphs: 0.00 eV per formula unit

a b c (Å): 4.2938 4.2938 4.2938
angles (deg): 90.00 90.00 90.00
Last column: nearest neighbours and their distance in Å.
Fractional coordinates of all 5 atoms:
Co  0.0000  0.0000  0.5000  2 Cl 2.15
Co  0.0000  0.5000  0.0000  2 Cl 2.15
Co  0.5000  0.0000  0.0000  2 Cl 2.15
Te  0.5000  0.5000  0.5000  12 Co 3.04
Cl  0.0000  0.0000  0.0000  6 Co 2.15



LiTh2Ga4Pd3: optimized geometry, PBE-GGA.

Summary:
* crystal system: tetragonal
* space-group type: No. 115

a b c (Å): 4.2796 4.2796 10.5829
angles (deg): 90.00 90.00 90.00
Last column: nearest neighbours and their distance in Å.
Fractional coordinates of all 10 atoms:
Li  0.0000  0.0000  0.0000  4 Ga 2.54
Th  0.0000  0.5000  0.7438  6 Pd 3.24-3.45, 8 Ga 3.31-3.35, 2 Li 3.45
Th  0.5000  0.0000  0.2562  6 Pd 3.24-3.45, 8 Ga 3.31-3.35, 2 Li 3.45
Ga  0.0000  0.0000  0.5000  4 Pd 2.57
Ga  0.0000  0.5000  0.1300  3 Pd 2.49-2.54, 2 Li 2.54
Ga  0.5000  0.0000  0.8700  3 Pd 2.49-2.54, 2 Li 2.54
Ga  0.5000  0.5000  0.5000  4 Pd 2.57
Pd  0.0000  0.5000  0.3656  5 Ga 2.49-2.57
Pd  0.5000  0.0000  0.6344  5 Ga 2.49-2.57
Pd  0.5000  0.5000  0.0000  4 Ga 2.54



Result set for total moment: 0.3; 4.3; 0.0 μB/cell, one per record in the order listed.
Result set for ρ: 6.05; 7.13; 9.16 g cm⁻³, one per record in the order listed.
Result set for calculated total energy: -4.55; -4.49; -5.12 eV/atom, one per record in the order listed.